No. 1
DFT (PBE) results for HoHSe2 after structural relaxation.

The value obtained for the total energy is -4.86 eV/atom.

The structure belongs to space group P2_1/m (No. 11); the cell edges are 7.1566, 4.2155 and 7.4448 Å and the angles 90.00°, 109.37° and 90.00°. The inequivalent atoms are Ho at (0.0109, 0.2500, 0.2264), H at (0.4282, 0.2500, 0.7264), Se at (0.2030, 0.2500, 0.6437) and Se at (0.2336, 0.7500, 0.1544).


No. 2
DFT (PBE) results for TaHg2P after structural relaxation.

The value obtained for the total energy is -3.98 eV/atom.

The structure belongs to space group C2/m (No. 12); the cell edges are 5.3481, 9.3484 and 3.1250 Å and the angles 90.00°, 90.14° and 90.00°. The inequivalent atoms are Ta at (0.0000, 0.0000, 0.0000), Hg at (0.2500, 0.2500, 0.5000) and P at (0.0000, 0.5000, 0.0000).


No. 3
DFT (PBE) results for Sm2YTh2 after structural relaxation.

Its polymorph energy (0 for the lowest one) is 0 meV per atom.

The structure belongs to space group C2/m (No. 12); the cell edges are 9.4330, 6.0060 and 6.2119 Å and the angles 90.00°, 111.00° and 90.00°. The inequivalent atoms are Sm at (0.1053, 0.0000, 0.2888), Y at (0.0000, 0.5000, 0.5000) and Th at (0.2011, 0.5000, 0.0961).


No. 4
DFT (PBE) results for Tl5Sb2 after structural relaxation.

Its polymorph energy (0 for the lowest one) is 17 meV per atom. The value obtained for the raw formation energy is 2.1 kJ/mol of atoms.

The structure belongs to space group C2/m (No. 12); the cell edges are 11.6659, 5.1651 and 7.2006 Å and the angles 90.00°, 93.02° and 90.00°. The inequivalent atoms are Tl at (0.0000, 0.0000, 0.0000), Tl at (0.0541, 0.5000, 0.7238), Tl at (0.1498, 0.0000, 0.4443) and Sb at (0.2170, 0.5000, 0.1112).


No. 5
DFT (PBE) results for SrMoPd after structural relaxation.

Its polymorph energy (0 for the lowest one) is 0 meV per atom.

The structure belongs to space group Pm (No. 6); the cell edges are 3.3664, 3.3381 and 11.7506 Å and the angles 90.00°, 92.06° and 90.00°. The inequivalent atoms are Sr at (0.0000, 0.0000, 0.0000), Sr at (0.0436, 0.0000, 0.3573), Mo at (0.5396, 0.5000, 0.5700), Mo at (0.9473, 0.0000, 0.6748), Pd at (0.4787, 0.5000, 0.8160) and Pd at (0.5221, 0.5000, 0.1786).


No. 6
DFT (PBE) results for Tl3Fe after structural relaxation.

The value obtained for the total energy is -3.33 eV/atom.

The structure belongs to space group Cmmm (No. 65); the cell edges are 6.3535, 9.4452 and 3.3358 Å and the angles 90.00°, 90.00° and 90.00°. The inequivalent atoms are Tl at (0.0000, 0.0000, 0.0000), Tl at (0.2500, 0.2500, 0.5000) and Fe at (0.0000, 0.5000, 0.0000).


No. 7
DFT (PBE) results for LaAl3 after structural relaxation.

The value obtained for the total energy is -4.39 eV/atom.

The structure belongs to space group P6_3/mmc (No. 194); the cell edges are 6.4458, 6.4458 and 14.6864 Å and the angles 90.00°, 90.00° and 120.00°. The inequivalent atoms are La at (0.0000, 0.0000, 0.2500), La at (0.3333, 0.6667, 0.0949), Al at (0.0563, 0.5282, 0.7500) and Al at (0.1725, 0.3449, 0.5815).


No. 8
DFT (PBE) results for Nb5SnSe8 after structural relaxation.

The value obtained for the raw formation energy is -72.2 kJ/mol of atoms.

The structure belongs to space group C2/m (No. 12); the cell edges are 18.6664, 3.4479 and 9.4068 Å and the angles 90.00°, 103.10° and 90.00°. The inequivalent atoms are Nb at (0.0000, 0.0000, 0.0000), Nb at (0.1409, 0.5000, 0.0008), Nb at (0.2123, 0.5000, 0.3700), Sn at (0.0000, 0.5000, 0.5000), Se at (0.0695, 0.5000, 0.2013), Se at (0.0844, 0.0000, 0.8070), Se at (0.1501, 0.0000, 0.5102) and Se at (0.2416, 0.0000, 0.1594).